## Zn2CdHg2 (GGA-PBE)

Data for Zn2CdHg2 after structural relaxation.

Values from the calculation:
density of states at the Fermi level = 3.7 states/eV/cell
distance to the lowest polymorph of the same formula = 0.0 meV per atom
calculated formation energy = 95 meV per atom
total magnetic moment = 0.0 Bohr magnetons per cell

Structure (CIF):
```
data_Zn2CdHg2
_space_group_name_H-M_alt 'P 1'
_space_group_IT_number 1
_cell_length_a 7.2576
_cell_length_b 7.2576
_cell_length_c 4.0626
_cell_angle_alpha 90.00
_cell_angle_beta 90.00
_cell_angle_gamma 90.00
loop_
_space_group_symop_operation_xyz
'x,y,z'
loop_
_atom_site_label
_atom_site_type_symbol
_atom_site_fract_x
_atom_site_fract_y
_atom_site_fract_z
Hg1 Hg 0.8231 0.3231 0.5000
Hg2 Hg 0.1769 0.6769 0.5000
Hg3 Hg 0.6769 0.8231 0.5000
Hg4 Hg 0.3231 0.1769 0.5000
Zn1 Zn 0.3731 0.8731 0.0000
Zn2 Zn 0.8731 0.6269 0.0000
Zn3 Zn 0.6269 0.1269 0.0000
Zn4 Zn 0.1269 0.3731 0.0000
Cd1 Cd 0.5000 0.5000 0.0000
Cd2 Cd 0.0000 0.0000 0.0000
```